[1]
This record from the Alexandria database describes a relaxed structure of CrHgP2. The functional is PBE.

Output
Magnetic moment (μB/f.u.): 3.148
DOS(E_F) (states/eV/f.u.): 2.19
Raw total energy (Ha/atom): -0.171

Cell: 3.505 4.384 4.384 Å, 90.00 90.00 90.00°
Last column: magnetic moment on the atom in μB.
Sites, in units of the cell vectors:
P: 0.000 0.000 0.000  -0.11
P: 0.000 0.500 0.500  -0.11
Hg: 0.500 0.000 0.500  -0.04
Cr: 0.500 0.500 0.000  3.30


[2]
This record from the Alexandria database describes a relaxed structure of Cr2HgP. The functional is PBE.

Output
Magnetic moment (μB/f.u.): 6.444
DOS(E_F) (states/eV/f.u.): 3.48
Raw total energy (Ha/atom): -0.210

Cell: 4.681 4.681 4.681 Å, 126.19 126.19 79.57°
Last column: magnetic moment on the atom in μB.
Sites, in units of the cell vectors:
Cr: 0.500 0.500 0.000  3.08
Cr: 0.000 0.000 0.000  3.08
Hg: 0.250 0.750 0.500  -0.01
P: 0.750 0.250 0.500  -0.15


[3]
This record from the Alexandria database describes a relaxed structure of CrHgP2. The functional is PBE.

Output
Magnetic moment (μB/f.u.): 0.000
DOS(E_F) (states/eV/f.u.): 2.66
Raw total energy (Ha/atom): -0.187

Cell: 9.099 9.099 9.099 Å, 162.51 160.16 26.57°
Sites, in units of the cell vectors:
Hg: 0.320 0.820 0.500
P: 0.986 0.986 0.000
P: 0.649 0.149 0.500
Cr: 0.545 0.545 0.000


[4]
This record from the Alexandria database describes a relaxed structure of CrHgP2. The functional is PBE.

Output
Magnetic moment (μB/f.u.): 3.279
DOS(E_F) (states/eV/f.u.): 2.05
Raw total energy (Ha/atom): -0.172

Cell: 4.426 4.426 3.507 Å, 90.00 90.00 98.98°
Last column: magnetic moment on the atom in μB.
Sites, in units of the cell vectors:
P: 0.500 0.500 0.000  -0.10
P: 0.000 0.000 0.000  -0.10
Cr: 0.500 0.000 0.500  3.36
Hg: 0.000 0.500 0.500  -0.02


[5]
This record from the Alexandria database describes a relaxed structure of CrHgP2. The functional is PBE.

Output
Magnetic moment (μB/f.u.): 3.097
DOS(E_F) (states/eV/f.u.): 3.03
Raw total energy (Ha/atom): -0.171

Cell: 5.569 5.569 5.569 Å, 140.68 140.68 56.82°
Last column: magnetic moment on the atom in μB.
Sites, in units of the cell vectors:
P: 0.000 0.000 0.000  -0.14
P: 0.250 0.750 0.500  -0.08
Cr: 0.500 0.500 0.000  3.25
Hg: 0.750 0.250 0.500  -0.02


[6]
This record from the Alexandria database describes a relaxed structure of Cr2HgP2. The functional is PBE.

Output
Magnetic moment (μB/f.u.): 2.844
DOS(E_F) (states/eV/f.u.): 3.92
Raw total energy (Ha/atom): -0.228

Cell: 4.110 4.110 5.319 Å, 67.27 67.27 90.00°
Last column: magnetic moment on the atom in μB.
Sites, in units of the cell vectors:
P: 0.372 0.372 0.257  -0.09
P: 0.628 0.628 0.743  -0.09
Cr: 0.750 0.250 0.500  1.47
Cr: 0.250 0.750 0.500  1.47
Hg: 0.000 0.000 0.000  -0.03


[7]
This record from the Alexandria database describes a relaxed structure of CrHgP2. The functional is PBE.

Output
Magnetic moment (μB/f.u.): 0.000
DOS(E_F) (states/eV/f.u.): 2.91
Raw total energy (Ha/atom): -0.190

Cell: 9.886 9.886 9.886 Å, 16.99 16.99 16.99°
Sites, in units of the cell vectors:
Cr: 0.750 0.750 0.750
P: 0.027 0.027 0.027
P: 0.473 0.473 0.473
Hg: 0.250 0.250 0.250


[8]
This record from the Alexandria database describes a relaxed structure of CrHgP2. The functional is PBE.

Output
Magnetic moment (μB/f.u.): 3.012
DOS(E_F) (states/eV/f.u.): 2.04
Raw total energy (Ha/atom): -0.183

Cell: 3.280 3.656 6.508 Å, 73.52 90.00 90.00°
Last column: magnetic moment on the atom in μB.
Sites, in units of the cell vectors:
P: 0.500 0.583 0.145  -0.04
P: 0.000 0.944 0.199  -0.04
Cr: 0.000 0.304 0.450  2.86
Hg: 0.500 0.669 0.706  -0.01


[9]
This record from the Alexandria database describes a relaxed structure of CrHg3P. The functional is PBE.

Output
Magnetic moment (μB/f.u.): 1.193
DOS(E_F) (states/eV/f.u.): 10.55
Raw total energy (Ha/atom): -0.071

Cell: 5.102 5.102 5.102 Å, 90.00 90.00 90.00°
Last column: magnetic moment on the atom in μB.
Sites, in units of the cell vectors:
Cr: 0.000 0.000 0.000  0.09
Hg: 0.000 0.500 0.000  0.00
Hg: 0.500 0.000 0.000  0.01
Hg: 0.000 0.000 0.500  -0.01
P: 0.500 0.500 0.500  0.52


[10]
This record from the Alexandria database describes a relaxed structure of Cr2HgP. The functional is PBE.

Output
Magnetic moment (μB/f.u.): 0.601
DOS(E_F) (states/eV/f.u.): 2.10
Raw total energy (Ha/atom): -0.219

Cell: 4.171 4.171 6.103 Å, 82.14 82.14 41.82°
Last column: magnetic moment on the atom in μB.
Sites, in units of the cell vectors:
Cr: 0.001 0.001 0.022  -2.18
Cr: 0.742 0.742 0.825  2.72
P: 0.272 0.272 0.139  0.02
Hg: 0.485 0.485 0.515  -0.02


[11]
This record from the Alexandria database describes a relaxed structure of CrHgP2. The functional is PBE.

Output
Magnetic moment (μB/f.u.): 0.000
DOS(E_F) (states/eV/f.u.): 2.48
Raw total energy (Ha/atom): -0.182

Cell: 3.002 3.002 7.581 Å, 90.00 90.00 90.00°
Sites, in units of the cell vectors:
P: 0.000 0.000 0.107
P: 0.500 0.500 0.290
Hg: 0.500 0.500 0.689
Cr: 0.000 0.000 0.415


[12]
This record from the Alexandria database describes a relaxed structure of Cr2HgP. The functional is PBE.

Output
Magnetic moment (μB/f.u.): 7.202
DOS(E_F) (states/eV/f.u.): 2.37
Raw total energy (Ha/atom): -0.211

Cell: 5.468 5.468 5.468 Å, 139.63 139.63 58.42°
Last column: magnetic moment on the atom in μB.
Sites, in units of the cell vectors:
Cr: 0.000 0.000 0.000  3.46
Cr: 0.250 0.750 0.500  3.34
P: 0.750 0.250 0.500  -0.17
Hg: 0.500 0.500 0.000  0.05


| no. | volume (Å³/cell) |
| --- | --- |
| 1 | 67.4 |
| 2 | 64.6 |
| 3 | 76.8 |
| 4 | 67.9 |
| 5 | 68.8 |
| 6 | 75.3 |
| 7 | 71.9 |
| 8 | 74.8 |
| 9 | 132.8 |
| 10 | 70.0 |
| 11 | 68.3 |
| 12 | 68.0 |